Compound: Ba2NaSrBr
Source: Alexandria via LeMat-Bulk
Functional: PBE
Structure: optimized geometry

Fermi-level density of states, states/eV/cell: 7.66
Energy above the most stable polymorph in this dataset, meV/atom: 0
DFT total energy, eV per atom: -2.1944
Energy relative to the elements, uncorrected, kJ/mol of formula units: -236.6

The structure in CIF format:
```
data_Ba2NaSrBr
_chemical_formula_sum 'Ba2 Na1 Sr1 Br1'
_space_group_name_H-M_alt 'P 1'
_space_group_IT_number 1
_cell_length_a 6.6370
_cell_length_b 6.6370
_cell_length_c 5.9235
_cell_angle_alpha 90.00
_cell_angle_beta 90.00
_cell_angle_gamma 90.00
loop_
_space_group_symop_operation_xyz
'x,y,z'
loop_
_atom_site_label
_atom_site_type_symbol
_atom_site_fract_x
_atom_site_fract_y
_atom_site_fract_z
Ba1 Ba 0.0000 0.5000 0.0000
Ba2 Ba 0.5000 0.0000 0.0000
Na1 Na 0.0000 0.0000 0.5000
Sr1 Sr 0.5000 0.5000 0.5000
Br1 Br 0.0000 0.0000 0.0000
```

---

Compound: BaNa2SrBr6
Source: Alexandria via LeMat-Bulk
Functional: PBE
Structure: optimized geometry

Fermi-level density of states, states/eV/cell: 0.00
DFT total energy, eV per atom: -3.5257
Energy relative to the elements, uncorrected, kJ/mol of formula units: -1831.0

The structure in CIF format:
```
data_BaNa2SrBr6
_chemical_formula_sum 'Ba1 Na2 Sr1 Br6'
_space_group_name_H-M_alt 'P 1'
_space_group_IT_number 1
_cell_length_a 8.2640
_cell_length_b 8.2640
_cell_length_c 8.2640
_cell_angle_alpha 56.24
_cell_angle_beta 56.24
_cell_angle_gamma 56.24
loop_
_space_group_symop_operation_xyz
'x,y,z'
loop_
_atom_site_label
_atom_site_type_symbol
_atom_site_fract_x
_atom_site_fract_y
_atom_site_fract_z
Ba1 Ba 0.0000 0.0000 0.0000
Na1 Na 0.2936 0.2936 0.2936
Na2 Na 0.7981 0.7981 0.7981
Sr1 Sr 0.4940 0.4940 0.4940
Br1 Br 0.0821 0.6704 0.4294
Br2 Br 0.1946 0.5766 0.9042
Br3 Br 0.4294 0.0821 0.6704
Br4 Br 0.5766 0.9042 0.1946
Br5 Br 0.6704 0.4294 0.0821
Br6 Br 0.9042 0.1946 0.5766
```

---

Compound: BaNa2TaBr
Source: Alexandria via LeMat-Bulk
Functional: PBE
Structure: optimized geometry

Fermi-level density of states, states/eV/cell: 1.72
DFT total energy, eV per atom: -2.8695
Energy relative to the elements, uncorrected, kJ/mol of formula units: 360.7

The structure in CIF format:
```
data_BaNa2TaBr
_chemical_formula_sum 'Ba1 Na2 Ta1 Br1'
_space_group_name_H-M_alt 'P 1'
_space_group_IT_number 1
_cell_length_a 5.9256
_cell_length_b 5.9256
_cell_length_c 6.6889
_cell_angle_alpha 90.00
_cell_angle_beta 90.00
_cell_angle_gamma 90.00
loop_
_space_group_symop_operation_xyz
'x,y,z'
loop_
_atom_site_label
_atom_site_type_symbol
_atom_site_fract_x
_atom_site_fract_y
_atom_site_fract_z
Ba1 Ba 0.0000 0.0000 0.0000
Na1 Na 0.0000 0.5000 0.5000
Na2 Na 0.5000 0.0000 0.5000
Ta1 Ta 0.0000 0.0000 0.5000
Br1 Br 0.5000 0.5000 0.0000
```

---

Compound: BaNaTcBr2
Source: Alexandria via LeMat-Bulk
Functional: PBE
Structure: optimized geometry

Fermi-level density of states, states/eV/cell: 3.58
DFT total energy, eV per atom: -3.4484
Energy relative to the elements, uncorrected, kJ/mol of formula units: -27.9

The structure in CIF format:
```
data_BaNaTcBr2
_chemical_formula_sum 'Ba1 Na1 Tc1 Br2'
_space_group_name_H-M_alt 'P 1'
_space_group_IT_number 1
_cell_length_a 5.2802
_cell_length_b 5.2802
_cell_length_c 5.4687
_cell_angle_alpha 90.00
_cell_angle_beta 90.00
_cell_angle_gamma 90.00
loop_
_space_group_symop_operation_xyz
'x,y,z'
loop_
_atom_site_label
_atom_site_type_symbol
_atom_site_fract_x
_atom_site_fract_y
_atom_site_fract_z
Ba1 Ba 0.0000 0.0000 0.0000
Na1 Na 0.5000 0.5000 0.0000
Tc1 Tc 0.5000 0.5000 0.5000
Br1 Br 0.0000 0.5000 0.5000
Br2 Br 0.5000 0.0000 0.5000
```

---

Compound: Ba2NaTeBr
Source: Alexandria via LeMat-Bulk
Functional: PBE
Structure: optimized geometry

Fermi-level density of states, states/eV/cell: 0.17
DFT total energy, eV per atom: -2.6207
Energy relative to the elements, uncorrected, kJ/mol of formula units: -301.5

The structure in CIF format:
```
data_Ba2NaTeBr
_chemical_formula_sum 'Ba2 Na1 Te1 Br1'
_space_group_name_H-M_alt 'P 1'
_space_group_IT_number 1
_cell_length_a 6.5183
_cell_length_b 6.5183
_cell_length_c 7.6450
_cell_angle_alpha 90.00
_cell_angle_beta 90.00
_cell_angle_gamma 90.00
loop_
_space_group_symop_operation_xyz
'x,y,z'
loop_
_atom_site_label
_atom_site_type_symbol
_atom_site_fract_x
_atom_site_fract_y
_atom_site_fract_z
Ba1 Ba 0.0000 0.5000 0.0000
Ba2 Ba 0.5000 0.0000 0.0000
Na1 Na 0.0000 0.0000 0.5000
Te1 Te 0.5000 0.5000 0.0000
Br1 Br 0.5000 0.5000 0.5000
```

---

Compound: BaNa2ThBr8
Source: Alexandria via LeMat-Bulk
Functional: PBE
Structure: optimized geometry

Fermi-level density of states, states/eV/cell: 0.00
DFT total energy, eV per atom: -3.8677
Energy relative to the elements, uncorrected, kJ/mol of formula units: -2030.9

The structure in CIF format:
```
data_BaNa2ThBr8
_chemical_formula_sum 'Ba1 Na2 Th1 Br8'
_space_group_name_H-M_alt 'P 1'
_space_group_IT_number 1
_cell_length_a 7.0341
_cell_length_b 9.4582
_cell_length_c 7.1509
_cell_angle_alpha 90.00
_cell_angle_beta 91.89
_cell_angle_gamma 90.00
loop_
_space_group_symop_operation_xyz
'x,y,z'
loop_
_atom_site_label
_atom_site_type_symbol
_atom_site_fract_x
_atom_site_fract_y
_atom_site_fract_z
Ba1 Ba 0.0000 0.0000 0.0000
Na1 Na 0.5000 0.2363 0.5000
Na2 Na 0.5000 0.7637 0.5000
Th1 Th 0.0000 0.5000 0.0000
Br1 Br 0.2146 0.2818 0.8259
Br2 Br 0.2146 0.7182 0.8259
Br3 Br 0.2685 0.5000 0.3068
Br4 Br 0.2919 0.0000 0.3364
Br5 Br 0.7081 0.0000 0.6636
Br6 Br 0.7315 0.5000 0.6932
Br7 Br 0.7854 0.2818 0.1741
Br8 Br 0.7854 0.7182 0.1741
```

---

Compound: BaNa2UBr8
Source: Alexandria via LeMat-Bulk
Functional: PBE
Structure: optimized geometry

Fermi-level density of states, states/eV/cell: 5.93
DFT total energy, eV per atom: -4.0093
Energy relative to the elements, uncorrected, kJ/mol of formula units: -1821.6

The structure in CIF format:
```
data_BaNa2UBr8
_chemical_formula_sum 'Ba1 Na2 U1 Br8'
_space_group_name_H-M_alt 'P 1'
_space_group_IT_number 1
_cell_length_a 6.9927
_cell_length_b 9.3680
_cell_length_c 7.0967
_cell_angle_alpha 90.00
_cell_angle_beta 91.09
_cell_angle_gamma 90.00
loop_
_space_group_symop_operation_xyz
'x,y,z'
loop_
_atom_site_label
_atom_site_type_symbol
_atom_site_fract_x
_atom_site_fract_y
_atom_site_fract_z
Ba1 Ba 0.0000 0.0000 0.0000
Na1 Na 0.5000 0.2354 0.5000
Na2 Na 0.5000 0.7645 0.5000
U1 U 0.0000 0.5000 0.0000
Br1 Br 0.2197 0.2859 0.8309
Br2 Br 0.2197 0.7141 0.8309
Br3 Br 0.2570 0.5000 0.3031
Br4 Br 0.2813 0.0000 0.3461
Br5 Br 0.7187 0.0000 0.6539
Br6 Br 0.7430 0.5000 0.6969
Br7 Br 0.7803 0.2859 0.1691
Br8 Br 0.7803 0.7141 0.1691
```

---

Compound: BaNaW2Br
Source: Alexandria via LeMat-Bulk
Functional: PBE
Structure: optimized geometry

Fermi-level density of states, states/eV/cell: 6.27
DFT total energy, eV per atom: -3.5053
Energy relative to the elements, uncorrected, kJ/mol of formula units: 1282.7

The structure in CIF format:
```
data_BaNaW2Br
_chemical_formula_sum 'Ba1 Na1 W2 Br1'
_space_group_name_H-M_alt 'P 1'
_space_group_IT_number 1
_cell_length_a 5.2241
_cell_length_b 5.2241
_cell_length_c 9.9336
_cell_angle_alpha 90.00
_cell_angle_beta 90.00
_cell_angle_gamma 90.00
loop_
_space_group_symop_operation_xyz
'x,y,z'
loop_
_atom_site_label
_atom_site_type_symbol
_atom_site_fract_x
_atom_site_fract_y
_atom_site_fract_z
Ba1 Ba 0.0000 0.0000 0.0000
Na1 Na 0.0000 0.0000 0.5000
W1 W 0.0000 0.5000 0.0000
W2 W 0.5000 0.0000 0.0000
Br1 Br 0.5000 0.5000 0.5000
```

---

Compound: BaNaWBr2
Source: Alexandria via LeMat-Bulk
Functional: PBE
Structure: optimized geometry

Fermi-level density of states, states/eV/cell: 0.40
DFT total energy, eV per atom: -3.3923
Energy relative to the elements, uncorrected, kJ/mol of formula units: 248.8

The structure in CIF format:
```
data_BaNaWBr2
_chemical_formula_sum 'Ba1 Na1 W1 Br2'
_space_group_name_H-M_alt 'P 1'
_space_group_IT_number 1
_cell_length_a 5.3113
_cell_length_b 5.3113
_cell_length_c 6.6365
_cell_angle_alpha 90.00
_cell_angle_beta 90.00
_cell_angle_gamma 90.00
loop_
_space_group_symop_operation_xyz
'x,y,z'
loop_
_atom_site_label
_atom_site_type_symbol
_atom_site_fract_x
_atom_site_fract_y
_atom_site_fract_z
Ba1 Ba 0.0000 0.0000 0.0000
Na1 Na 0.0000 0.0000 0.5000
W1 W 0.5000 0.5000 0.0000
Br1 Br 0.0000 0.5000 0.5000
Br2 Br 0.5000 0.0000 0.5000
```

---

Compound: BaNaYBr6
Source: Alexandria via LeMat-Bulk
Functional: PBE
Structure: optimized geometry

Fermi-level density of states, states/eV/cell: 0.00
DFT total energy, eV per atom: -4.0978
Energy relative to the elements, uncorrected, kJ/mol of formula units: -1653.5

The structure in CIF format:
```
data_BaNaYBr6
_chemical_formula_sum 'Ba2 Na2 Y2 Br12'
_space_group_name_H-M_alt 'P 1'
_space_group_IT_number 1
_cell_length_a 7.5232
_cell_length_b 7.5232
_cell_length_c 13.8539
_cell_angle_alpha 90.00
_cell_angle_beta 90.00
_cell_angle_gamma 120.00
loop_
_space_group_symop_operation_xyz
'x,y,z'
loop_
_atom_site_label
_atom_site_type_symbol
_atom_site_fract_x
_atom_site_fract_y
_atom_site_fract_z
Ba1 Ba 0.0000 0.0000 0.0000
Ba2 Ba 0.0000 0.0000 0.5000
Na1 Na 0.3333 0.6667 0.2500
Na2 Na 0.6667 0.3333 0.7500
Y1 Y 0.3333 0.6667 0.7500
Y2 Y 0.6667 0.3333 0.2500
Br1 Br 0.0181 0.3682 0.6333
Br2 Br 0.0181 0.6499 0.8667
Br3 Br 0.3501 0.3682 0.8667
Br4 Br 0.3501 0.9819 0.6333
Br5 Br 0.3682 0.0181 0.1333
Br6 Br 0.3682 0.3501 0.3667
Br7 Br 0.6318 0.6499 0.6333
Br8 Br 0.6318 0.9819 0.8667
Br9 Br 0.6499 0.0181 0.3667
Br10 Br 0.6499 0.6318 0.1333
Br11 Br 0.9819 0.3501 0.1333
Br12 Br 0.9819 0.6318 0.3667
```

---

Compound: BaNa3Zn4Br12
Source: Alexandria via LeMat-Bulk
Functional: PBE
Structure: optimized geometry

Fermi-level density of states, states/eV/cell: 3.69
DFT total energy, eV per atom: -2.6579
Energy relative to the elements, uncorrected, kJ/mol of formula units: -2133.2

The structure in CIF format:
```
data_BaNa3Zn4Br12
_chemical_formula_sum 'Ba1 Na3 Zn4 Br12'
_space_group_name_H-M_alt 'P 1'
_space_group_IT_number 1
_cell_length_a 9.4611
_cell_length_b 9.4611
_cell_length_c 9.4611
_cell_angle_alpha 104.86
_cell_angle_beta 104.86
_cell_angle_gamma 104.86
loop_
_space_group_symop_operation_xyz
'x,y,z'
loop_
_atom_site_label
_atom_site_type_symbol
_atom_site_fract_x
_atom_site_fract_y
_atom_site_fract_z
Ba1 Ba 0.0000 0.0000 0.0000
Na1 Na 0.0000 0.5544 0.4456
Na2 Na 0.4456 0.0000 0.5544
Na3 Na 0.5544 0.4456 0.0000
Zn1 Zn 0.0556 0.5000 0.9444
Zn2 Zn 0.5000 0.5000 0.5000
Zn3 Zn 0.5000 0.9444 0.0556
Zn4 Zn 0.9444 0.0556 0.5000
Br1 Br 0.0377 0.6698 0.7914
Br2 Br 0.1027 0.8973 0.5000
Br3 Br 0.2086 0.3302 0.9623
Br4 Br 0.3302 0.9623 0.2086
Br5 Br 0.3426 0.6574 0.5000
Br6 Br 0.5000 0.1027 0.8973
Br7 Br 0.5000 0.3426 0.6574
Br8 Br 0.6574 0.5000 0.3426
Br9 Br 0.6698 0.7914 0.0377
Br10 Br 0.7914 0.0377 0.6698
Br11 Br 0.8973 0.5000 0.1027
Br12 Br 0.9624 0.2086 0.3302
```

---

Compound: Ba2NaZrBr
Source: Alexandria via LeMat-Bulk
Functional: PBE
Structure: optimized geometry

Fermi-level density of states, states/eV/cell: 6.15
DFT total energy, eV per atom: -2.9099
Energy relative to the elements, uncorrected, kJ/mol of formula units: 80.7

The structure in CIF format:
```
data_Ba2NaZrBr
_chemical_formula_sum 'Ba2 Na1 Zr1 Br1'
_space_group_name_H-M_alt 'P 1'
_space_group_IT_number 1
_cell_length_a 6.7002
_cell_length_b 6.7002
_cell_length_c 5.2743
_cell_angle_alpha 90.00
_cell_angle_beta 90.00
_cell_angle_gamma 90.00
loop_
_space_group_symop_operation_xyz
'x,y,z'
loop_
_atom_site_label
_atom_site_type_symbol
_atom_site_fract_x
_atom_site_fract_y
_atom_site_fract_z
Ba1 Ba 0.0000 0.5000 0.0000
Ba2 Ba 0.5000 0.0000 0.0000
Na1 Na 0.0000 0.0000 0.5000
Zr1 Zr 0.5000 0.5000 0.0000
Br1 Br 0.5000 0.5000 0.5000
```

---

Compound: BaNb2Br2
Source: Alexandria via LeMat-Bulk
Functional: PBE
Structure: optimized geometry

Fermi-level density of states, states/eV/cell: 9.60
Energy above the most stable polymorph in this dataset, meV/atom: 418
DFT total energy, eV per atom: -4.6790
Energy relative to the elements, uncorrected, kJ/mol of formula units: 194.2

The structure in CIF format:
```
data_BaNb2Br2
_chemical_formula_sum 'Ba2 Nb4 Br4'
_space_group_name_H-M_alt 'P 1'
_space_group_IT_number 1
_cell_length_a 9.0754
_cell_length_b 9.0754
_cell_length_c 3.6471
_cell_angle_alpha 90.00
_cell_angle_beta 90.00
_cell_angle_gamma 90.00
loop_
_space_group_symop_operation_xyz
'x,y,z'
loop_
_atom_site_label
_atom_site_type_symbol
_atom_site_fract_x
_atom_site_fract_y
_atom_site_fract_z
Ba1 Ba 0.0000 0.0000 0.0000
Ba2 Ba 0.5000 0.5000 0.0000
Nb1 Nb 0.0833 0.4167 0.0000
Nb2 Nb 0.4167 0.9167 0.0000
Nb3 Nb 0.5833 0.0833 0.0000
Nb4 Nb 0.9167 0.5833 0.0000
Br1 Br 0.2489 0.7489 0.5000
Br2 Br 0.2511 0.2489 0.5000
Br3 Br 0.7489 0.7511 0.5000
Br4 Br 0.7511 0.2511 0.5000
```